(1)
# LaPdNO

Crystalline LaPdNO at its relaxed geometry (PBE-GGA, OQMD via LeMat-Bulk).

The structure belongs to space group P4/nmm (No. 129, origin choice 2); the cell edges are 4.158, 4.158 and 7.302 Å and the angles 90.00°, 90.00° and 90.00°. The distinct sites, in fractional coordinates, are La at (0.250, 0.250, 0.161), Pd at (0.250, 0.750, 0.500), N at (0.250, 0.250, 0.566) and O at (0.250, 0.750, 0.000).

The relative energy among the computed polymorphs is 0.00 eV per formula unit.

=====

(2)
# Zr2HgTe3Se

Crystalline Zr2HgTe3Se at its relaxed geometry (PBE-GGA, OQMD via LeMat-Bulk).

The structure belongs to space group P1 (No. 1); the cell edges are 6.989, 7.282 and 7.446 Å and the angles 119.10°, 115.23° and 90.26°. The distinct sites, in fractional coordinates, are Zr at (0.000, 0.000, 0.000), Zr at (0.247, 0.763, 0.514), Hg at (0.490, 0.481, 0.005), Te at (0.353, 0.926, 0.289), Te at (0.624, 0.662, 0.735), Te at (0.936, 0.381, 0.298) and Se at (0.093, 0.058, 0.733).

=====

(3)
# PaOsPt

Crystalline PaOsPt at its relaxed geometry (PBE-GGA, OQMD via LeMat-Bulk).

The structure belongs to space group F-43m (No. 216); the cell edges are 6.467, 6.467 and 6.467 Å and the angles 90.00°, 90.00° and 90.00°. The distinct sites, in fractional coordinates, are Pa at (0.000, 0.000, 0.000), Os at (0.250, 0.250, 0.750) and Pt at (0.250, 0.250, 0.250).

The relative energy among the computed polymorphs is 0.38 eV per formula unit. For the formation energy, the calculation gives 0.1 eV per formula unit.

=====

(4)
# Dy2Sn2O5

Crystalline Dy2Sn2O5 at its relaxed geometry (PBE-GGA, OQMD via LeMat-Bulk).

The structure belongs to space group P4/mmm (No. 123); the cell edges are 3.757, 3.757 and 9.470 Å and the angles 90.00°, 90.00° and 90.00°. The distinct sites, in fractional coordinates, are Dy at (0.000, 0.000, 0.245), Sn at (0.500, 0.500, 0.000), Sn at (0.500, 0.500, 0.500), O at (0.000, 0.000, 0.000) and O at (0.000, 0.500, 0.366).

The relative energy among the computed polymorphs is 0.00 eV per formula unit.

=====

(5)
# BaGa5CuPt

Crystalline BaGa5CuPt at its relaxed geometry (PBE-GGA, OQMD via LeMat-Bulk).

The structure belongs to space group Imm2 (No. 44); the cell edges are 4.275, 7.235 and 10.272 Å and the angles 90.00°, 90.00° and 90.00°. The distinct sites, in fractional coordinates, are Ba at (0.000, 0.000, 0.000), Ga at (0.000, 0.189, 0.653), Ga at (0.000, 0.192, 0.347), Ga at (0.000, 0.500, 0.013), Cu at (0.000, 0.500, 0.242) and Pt at (0.000, 0.500, 0.775).

=====

(6)
# Th3Cl2

Crystalline Th3Cl2 at its relaxed geometry (PBE-GGA, OQMD via LeMat-Bulk).

The structure belongs to space group R-3c (No. 167, hexagonal axes); the cell edges are 6.8959, 6.8959 and 19.7637 Å and the angles 90.00°, 90.00° and 120.00°. The distinct sites, in fractional coordinates, are Th at (0.0000, 0.3473, 0.2500) and Cl at (0.0000, 0.0000, 0.1692).

=====

(7)
# RbThBe

Crystalline RbThBe at its relaxed geometry (PBE-GGA, OQMD via LeMat-Bulk).

The structure belongs to space group F-43m (No. 216); the cell edges are 7.256, 7.256 and 7.256 Å and the angles 90.00°, 90.00° and 90.00°. The distinct sites, in fractional coordinates, are Rb at (0.000, 0.000, 0.000), Th at (0.000, 0.000, 0.500) and Be at (0.250, 0.250, 0.250).

=====

(8)
# PmNbMo

Crystalline PmNbMo at its relaxed geometry (PBE-GGA, OQMD via LeMat-Bulk).

The structure belongs to space group F-43m (No. 216); the cell edges are 6.555, 6.555 and 6.555 Å and the angles 90.00°, 90.00° and 90.00°. The distinct sites, in fractional coordinates, are Pm at (0.000, 0.000, 0.000), Nb at (0.250, 0.250, 0.750) and Mo at (0.000, 0.000, 0.500).

For the formation energy, the calculation gives 2.7 eV per formula unit.

=====

Number 1: VASP energy -7.13 eV/atom. Number 2: VASP energy -4.80 eV/atom. Number 3: VASP energy -8.88 eV/atom. Number 4: VASP energy -6.83 eV/atom. Number 5: VASP energy -3.81 eV/atom. Number 6: VASP energy -5.83 eV/atom. Number 7: VASP energy -2.74 eV/atom. Number 8: VASP energy -7.67 eV/atom.